Version A
A geometry-optimized K2LiIrF6 structure, computed with PBE.

- Space group: I4/m

Unit cell a=5.6342 b=5.6342 c=5.6342 alpha=120.48 beta=120.48 gamma=89.17
Fractional positions:
F (0.2516, 0.2516, 0.0000)
F (0.7484, 0.7484, 0.0000)
F (0.2708, 0.7629, 0.0337)
F (0.7629, 0.7292, 0.4921)
F (0.2371, 0.2708, 0.5079)
F (0.7292, 0.2371, 0.9663)
Ir (0.0000, 0.0000, 0.0000)
K (0.7500, 0.2500, 0.5000)
K (0.2500, 0.7500, 0.5000)
Li (0.5000, 0.5000, 0.0000)



Version B
A geometry-optimized K2LiIrF6 structure, computed with PBE.

- Space group: P2_1/c

Unit cell a=5.5174 b=5.6539 c=9.5990 alpha=90.00 beta=124.61 gamma=90.00
Fractional positions:
F (0.2494, 0.7391, 0.0022)
F (0.2622, 0.2493, 0.0034)
F (0.7503, 0.5014, 0.2458)
F (0.2497, 0.0014, 0.2542)
F (0.7378, 0.7493, 0.4966)
F (0.7506, 0.2391, 0.4978)
F (0.2494, 0.7609, 0.5022)
F (0.2622, 0.2507, 0.5034)
F (0.7503, 0.9986, 0.7458)
F (0.2497, 0.4986, 0.7542)
F (0.7378, 0.7507, 0.9966)
F (0.7506, 0.2609, 0.9978)
Ir (0.0000, 0.0000, 0.0000)
Ir (0.0000, 0.5000, 0.5000)
K (0.7497, 0.9999, 0.2500)
K (0.2503, 0.4999, 0.2501)
K (0.7497, 0.5001, 0.7499)
K (0.2503, 0.0001, 0.7501)
Li (0.5000, 0.5000, 0.0000)
Li (0.5000, 0.0000, 0.5000)



Which is the most stable structure? version A is the most stable.



Version A
A geometry-optimized Rb2LiIrF6 structure, computed with PBE.

- Space group: P-1

Unit cell a=5.7299 b=5.7331 c=8.1231 alpha=90.02 beta=90.00 gamma=90.06
Fractional positions:
F (0.1983, 0.7981, 0.0004)
F (0.2029, 0.2983, 0.0007)
F (0.9490, 0.0502, 0.2498)
F (0.4508, 0.5501, 0.2502)
F (0.1951, 0.3037, 0.4993)
F (0.2038, 0.8039, 0.4998)
F (0.6959, 0.2954, 0.5002)
F (0.7048, 0.7956, 0.5008)
F (0.4491, 0.5492, 0.7498)
F (0.9510, 0.0504, 0.7502)
F (0.6972, 0.8023, 0.9994)
F (0.7020, 0.3027, 0.9996)
Ir (0.9501, 0.0504, 0.0000)
Ir (0.4499, 0.5496, 0.5000)
Li (0.4501, 0.5502, 0.0000)
Li (0.9499, 0.0498, 0.5000)
Rb (0.9500, 0.5503, 0.2499)
Rb (0.4499, 0.0499, 0.2500)
Rb (0.4500, 0.0499, 0.7499)
Rb (0.9501, 0.5500, 0.7502)



Version B
A geometry-optimized Rb2LiIrF6 structure, computed with PBE.

- Space group: R-3m

Unit cell a=5.7356 b=5.7356 c=5.7356 alpha=58.18 beta=58.18 gamma=58.18
Fractional positions:
F (0.2478, 0.7486, 0.2478)
F (0.7486, 0.2478, 0.2478)
F (0.7522, 0.7522, 0.2514)
F (0.2478, 0.2478, 0.7486)
F (0.2514, 0.7522, 0.7522)
F (0.7522, 0.2514, 0.7522)
Ir (0.5000, 0.5000, 0.5000)
Li (0.0000, 0.0000, 0.0000)
Rb (0.2493, 0.2493, 0.2493)
Rb (0.7507, 0.7507, 0.7507)



Which is the most stable structure? version A is the most stable.



Version A
A geometry-optimized K2TaF7 structure, computed with PBE.

- Space group: Pnma

Unit cell a=9.1944 b=5.4440 c=11.2566 alpha=90.00 beta=90.00 gamma=90.00
Fractional positions:
F (0.8453, 0.7500, 0.0303)
F (0.3666, 0.0140, 0.0438)
F (0.3666, 0.4860, 0.0438)
F (0.0831, 0.0178, 0.1497)
F (0.0831, 0.4822, 0.1497)
F (0.8100, 0.0280, 0.2430)
F (0.8100, 0.4720, 0.2430)
F (0.3100, 0.0280, 0.2570)
F (0.3100, 0.4720, 0.2570)
F (0.5831, 0.0178, 0.3503)
F (0.5831, 0.4822, 0.3503)
F (0.8666, 0.0140, 0.4562)
F (0.8666, 0.4860, 0.4562)
F (0.3453, 0.7500, 0.4697)
F (0.6547, 0.2500, 0.5303)
F (0.1334, 0.5140, 0.5438)
F (0.1334, 0.9860, 0.5438)
F (0.4169, 0.5178, 0.6497)
F (0.4169, 0.9822, 0.6497)
F (0.6900, 0.5280, 0.7430)
F (0.6900, 0.9720, 0.7430)
F (0.1900, 0.5280, 0.7570)
F (0.1900, 0.9720, 0.7570)
F (0.9169, 0.5178, 0.8503)
F (0.9169, 0.9822, 0.8503)
F (0.6334, 0.5140, 0.9562)
F (0.6334, 0.9860, 0.9562)
F (0.1547, 0.2500, 0.9697)
K (0.8659, 0.2500, 0.0444)
K (0.5600, 0.7500, 0.1624)
K (0.0600, 0.7500, 0.3376)
K (0.3659, 0.2500, 0.4556)
K (0.6341, 0.7500, 0.5444)
K (0.9400, 0.2500, 0.6624)
K (0.4400, 0.2500, 0.8376)
K (0.1341, 0.7500, 0.9556)
Ta (0.2449, 0.2500, 0.1307)
Ta (0.7449, 0.2500, 0.3693)
Ta (0.2551, 0.7500, 0.6307)
Ta (0.7551, 0.7500, 0.8693)



Version B
A geometry-optimized K2TaF7 structure, computed with PBE.

- Space group: P2_1/c

Unit cell a=5.6114 b=12.2256 c=8.1682 alpha=90.00 beta=90.15 gamma=90.00
Fractional positions:
F (0.8329, 0.8889, 0.0064)
F (0.5235, 0.6078, 0.0849)
F (0.9661, 0.6047, 0.1046)
F (0.5712, 0.0722, 0.1179)
F (0.0404, 0.2461, 0.1956)
F (0.4698, 0.2576, 0.2012)
F (0.2221, 0.9655, 0.2237)
F (0.7779, 0.4655, 0.2763)
F (0.5302, 0.7576, 0.2988)
F (0.9596, 0.7461, 0.3044)
F (0.4288, 0.5722, 0.3821)
F (0.0339, 0.1047, 0.3954)
F (0.4765, 0.1078, 0.4151)
F (0.1671, 0.3889, 0.4936)
F (0.8329, 0.6111, 0.5064)
F (0.5235, 0.8922, 0.5849)
F (0.9661, 0.8953, 0.6046)
F (0.5712, 0.4278, 0.6179)
F (0.0404, 0.2539, 0.6956)
F (0.4698, 0.2424, 0.7012)
F (0.2221, 0.5345, 0.7237)
F (0.7779, 0.0345, 0.7763)
F (0.5302, 0.7424, 0.7988)
F (0.9596, 0.7539, 0.8044)
F (0.4288, 0.9278, 0.8821)
F (0.0339, 0.3953, 0.8954)
F (0.4765, 0.3922, 0.9151)
F (0.1671, 0.1111, 0.9936)
K (0.2369, 0.7794, 0.0562)
K (0.2391, 0.4394, 0.1801)
K (0.7609, 0.9394, 0.3199)
K (0.7631, 0.2794, 0.4438)
K (0.2369, 0.7206, 0.5562)
K (0.2391, 0.0606, 0.6801)
K (0.7609, 0.5606, 0.8199)
K (0.7631, 0.2206, 0.9438)
Ta (0.2719, 0.1240, 0.2195)
Ta (0.7281, 0.6240, 0.2805)
Ta (0.2719, 0.3760, 0.7195)
Ta (0.7281, 0.8760, 0.7805)



Which is the most stable structure? version B is the most stable.



Version A
A geometry-optimized K2ZnF4 structure, computed with PBE.

- Space group: I4/mmm

Unit cell a=7.0296 b=7.0296 c=7.0296 alpha=146.93 beta=146.93 gamma=47.47
Fractional positions:
F (0.1579, 0.1579, 0.0000)
F (0.8421, 0.8421, 0.0000)
F (0.5000, 0.0000, 0.5000)
F (0.0000, 0.5000, 0.5000)
K (0.3534, 0.3534, 0.0000)
K (0.6466, 0.6466, 0.0000)
Zn (0.0000, 0.0000, 0.0000)



Version B
A geometry-optimized K2ZnF4 structure, computed with PBE.

- Space group: Pnma

Unit cell a=7.5164 b=5.6689 c=10.0796 alpha=90.00 beta=90.00 gamma=90.00
Fractional positions:
F (0.9557, 0.7500, 0.0799)
F (0.6835, 0.2500, 0.0945)
F (0.3230, 0.0088, 0.1556)
F (0.3230, 0.4912, 0.1556)
F (0.8230, 0.0088, 0.3444)
F (0.8230, 0.4912, 0.3444)
F (0.1835, 0.2500, 0.4055)
F (0.4557, 0.7500, 0.4201)
F (0.5443, 0.2500, 0.5799)
F (0.8165, 0.7500, 0.5945)
F (0.1770, 0.5088, 0.6556)
F (0.1770, 0.9912, 0.6556)
F (0.6770, 0.5088, 0.8444)
F (0.6770, 0.9912, 0.8444)
F (0.3165, 0.7500, 0.9055)
F (0.0443, 0.2500, 0.9201)
K (0.6232, 0.7500, 0.0808)
K (0.0171, 0.2500, 0.1890)
K (0.5171, 0.2500, 0.3110)
K (0.1232, 0.7500, 0.4192)
K (0.8768, 0.2500, 0.5808)
K (0.4829, 0.7500, 0.6890)
K (0.9829, 0.7500, 0.8110)
K (0.3768, 0.2500, 0.9192)
Zn (0.2053, 0.7500, 0.0763)
Zn (0.7053, 0.7500, 0.4237)
Zn (0.2947, 0.2500, 0.5763)
Zn (0.7947, 0.2500, 0.9237)



Which is the most stable structure? version A is the most stable.